VASP calculation (GGA-PBE) on an optimized crystal structure of Th5BiSb4.

The calculation puts the raw formation energy at -833 meV/atom. The calculation puts the spin magnetization at 0.000 μB/atom. The density of states at the Fermi level is 15.50 states/eV/cell.

abc: 4.5235 6.3891 22.6538
angles: 90.00 90.00 90.00
Last column: nearest neighbours and their distance in Å.
Space group Immm (No. 71)
Symmetry-distinct sites (fractional):
1 Th 0.0000 0.0000 0.0000 x2  4 Sb 3.19, 2 Bi 3.19
2 Th 0.0000 0.0000 0.1993 x4  6 Sb 3.19-3.20
3 Th 0.0000 0.0000 0.3962 x4  4 Sb 3.17-3.20, 2 Bi 3.26
4 Bi 0.0000 0.5000 0.0000 x2  6 Th 3.19-3.26
5 Sb 0.0000 0.5000 0.2016 x4  6 Th 3.17-3.19
6 Sb 0.0000 0.5000 0.4005 x4  6 Th 3.19-3.20



VASP calculation (GGA-PBE) on an optimized crystal structure of Hf8Ge2Rh3.

The calculation puts the spin magnetization at 0.000 μB/atom. The calculation puts the calculated formation energy at -0.370 eV/atom. The density of states at the Fermi level is 24.68 states/eV/cell.

abc: 15.0948 6.3967 5.4967
angles: 90.00 95.75 90.00
Last column: nearest neighbours and their distance in Å.
Space group C2/m (No. 12)
Symmetry-distinct sites (fractional):
1 Hf 0.0607 0.0000 0.2721 x4  2 Rh 2.56, 1 Ge 2.67
2 Hf 0.1275 0.2427 0.8316 x8  2 Rh 2.55-2.76, 2 Ge 2.70-2.81
3 Hf 0.1794 0.5000 0.3338 x4  1 Ge 2.87, 3 Rh 3.12-3.19
4 Ge 0.2311 0.0000 0.1797 x4  6 Hf 2.67-2.87
5 Rh 0.0000 0.3087 0.5000 x4  1 Rh 2.45, 4 Hf 2.55-2.56
6 Rh 0.0000 0.5000 0.0000 x2  4 Hf 2.76, 4 Rh 3.01



VASP calculation (GGA-PBE) on an optimized crystal structure of PmPrHf.

The value obtained for the energy relative to the lowest polymorph listed for this composition is 11.4 meV/atom. The calculation puts the spin magnetization at 0.000 μB/atom. The calculation puts the calculated formation energy at 0.173 eV/atom. The density of states at the Fermi level is 8.38 states/eV/cell.

abc: 3.4072 3.4072 15.5683
angles: 90.00 90.00 90.00
Last column: nearest neighbours and their distance in Å.
Space group I4mm (No. 107)
Symmetry-distinct sites (fractional):
1 Pm 0.0000 0.0000 0.0000 x2  4 Hf 3.35, 4 Pm 3.41
2 Pr 0.0000 0.0000 0.6943 x2  4 Pr 3.41, 4 Hf 3.42
3 Hf 0.0000 0.0000 0.3501 x2  4 Pm 3.35, 4 Hf 3.41, 4 Pr 3.42



VASP calculation (GGA-PBE) on an optimized crystal structure of La7Pr2Y.

The value obtained for the energy relative to the lowest polymorph listed for this composition is 0.0 meV/atom. The calculation puts the spin magnetization at 0.000 μB/atom. The calculation puts the calculated formation energy at 0.011 eV/atom. The density of states at the Fermi level is 18.61 states/eV/cell.

abc: 6.4134 6.4292 9.8157
angles: 108.78 102.59 99.80
Last column: nearest neighbours and their distance in Å.
Space group P-1 (No. 2)
Symmetry-distinct sites (fractional):
1 La 0.0000 0.0000 0.0000 x1  4 Pr 3.71, 8 La 3.71-3.73
2 La 0.0971 0.1975 0.6975 x2  7 La 3.68-3.73, 2 Y 3.68-3.71, 3 Pr 3.71-3.76
3 La 0.2006 0.3993 0.4006 x2  9 La 3.69-3.73, 2 Y 3.70-3.71, 1 Pr 3.70
4 La 0.3988 0.8004 0.7988 x2  1 Y 3.69, 8 La 3.70-3.74, 3 Pr 3.70-3.72
5 Pr 0.3006 0.6010 0.1012 x2  9 La 3.70-3.76, 1 Y 3.71, 2 Pr 3.71-3.72
6 Y 0.5000 0.0000 0.5000 x1  10 La 3.68-3.71, 2 Pr 3.71



VASP calculation (GGA-PBE) on an optimized crystal structure of PuAg2Hg.

The calculation puts the spin magnetization at 1.420 μB/atom. The calculation puts the calculated formation energy at 0.127 eV/atom. The density of states at the Fermi level is 15.36 states/eV/cell.

abc: 5.3764 3.1138 10.5341
angles: 90.00 99.63 90.00
Last column: nearest neighbours and their distance in Å.
Space group Cm (No. 8)
Symmetry-distinct sites (fractional):
1 Pu 0.0000 0.0000 0.0000 x2  6 Pu 3.11, 6 Ag 3.22-3.23
2 Ag 0.0815 0.5000 0.7422 x2  3 Hg 3.08-3.09, 6 Ag 3.11, 3 Pu 3.22
3 Ag 0.2511 0.5000 0.2580 x2  3 Hg 3.09-3.10, 6 Ag 3.11, 3 Pu 3.22-3.23
4 Hg 0.1666 0.0000 0.5004 x2  6 Ag 3.08-3.10, 6 Hg 3.11



VASP calculation (GGA-PBE) on an optimized crystal structure of Nd2AlTe.

The calculation puts the raw formation energy at -717 meV/atom. The value obtained for the energy relative to the lowest polymorph listed for this composition is 205.8 meV/atom. The calculation puts the spin magnetization at 0.000 μB/atom. The density of states at the Fermi level is 3.65 states/eV/cell.

abc: 3.7570 3.7570 8.0152
angles: 90.00 90.00 90.00
Last column: nearest neighbours and their distance in Å.
Space group P4/mmm (No. 123)
Symmetry-distinct sites (fractional):
1 Nd 0.0000 0.0000 0.2479 x2  4 Al 3.32, 4 Te 3.34
2 Al 0.5000 0.5000 0.0000 x1  8 Nd 3.32
3 Te 0.5000 0.5000 0.5000 x1  8 Nd 3.34



Which formula does entry 2 have?
Hf8Ge2Rh3